Entry 1:
DFT (GGA-PBE) results for a relaxed structure of K2ZrTa.

```
K2ZrTa
1.0
7.307 -0.030 0.000
4.938 5.386 0.000
-6.123 -2.678 2.956
Zr Ta K
1 1 2
Cartesian
3.654 -0.015 1.478
2.469 2.693 1.478
6.123 2.678 0.000
0.000 0.000 0.000
```

- SG: I4/mmm
- Calculated density: 4.982 g/cm³
- Fermi-level density of states: 1.039 states/eV per atom
- Energy of formation from the pure elements: 1294 meV per atom



Entry 2:
DFT (GGA-PBE) results for a relaxed structure of K2ZrTa.

```
K2ZrTa
1.0
-3.901 7.651 8.901
3.112 -8.371 8.558
1.908 0.645 8.876
K Zr Ta
4 2 2
Cartesian
2.419 -5.065 7.574
-2.057 4.848 9.958
1.127 -1.186 22.998
0.748 1.254 12.140
2.312 -4.043 13.082
-0.395 -0.360 8.730
0.000 0.000 0.000
-1.194 3.968 13.253
```

- SG: I-42d
- Calculated density: 3.021 g/cm³
- Fermi-level density of states: 1.584 states/eV per atom
- Energy of formation from the pure elements: 1681 meV per atom



Entry 3:
DFT (GGA-PBE) results for a relaxed structure of KZrTa.

```
KZrTa
1.0
-2.617 1.556 0.799
-0.170 -3.016 -0.886
1.097 -2.606 8.661
K Zr Ta
1 1 1
Cartesian
0.009 -0.022 0.074
-0.299 -3.123 5.098
-1.401 -0.920 3.403
```

- SG: P3m1
- Calculated density: 6.610 g/cm³
- Fermi-level density of states: 1.337 states/eV per atom
- Energy of formation from the pure elements: 804 meV per atom



Entry 4:
DFT (GGA-PBE) results for a relaxed structure of K4ZrTa.

```
K4ZrTa
1.0
2.250 -1.387 6.279
-4.444 -1.155 5.034
-0.694 -6.276 2.558
K Ta Zr
4 1 1
Cartesian
-1.085 -3.313 5.211
-3.294 -3.887 7.714
-1.430 -6.434 6.483
0.034 -4.003 8.333
-2.165 -6.613 10.403
0.000 0.000 0.000
```

- SG: F-43m
- Calculated density: 3.183 g/cm³
- Fermi-level density of states: 1.781 states/eV per atom
- Energy of formation from the pure elements: 1603 meV per atom



Entry 5:
DFT (GGA-PBE) results for a relaxed structure of KZr2Ta.

```
KZr2Ta
1.0
3.072 -0.136 0.000
-1.316 2.779 0.000
0.000 0.000 11.925
Zr K Ta
2 1 1
Cartesian
0.000 0.000 11.771
0.878 1.321 2.586
0.000 0.000 6.097
0.878 1.321 9.358
```

- SG: Cmm2
- Calculated density: 6.708 g/cm³
- Fermi-level density of states: 1.591 states/eV per atom
- Energy of formation from the pure elements: 581 meV per atom



Entry 6:
DFT (GGA-PBE) results for a relaxed structure of KZr3Ta.

```
KZr3Ta
1.0
-4.536 1.709 -2.202
-2.729 -1.867 4.173
0.568 4.684 2.466
Zr Ta K
3 1 1
Cartesian
0.284 2.342 1.233
-1.365 -0.933 2.087
-2.268 0.854 -1.101
0.000 0.000 0.000
-3.349 2.263 2.219
```

- SG: Pm-3m
- Calculated density: 5.431 g/cm³
- Fermi-level density of states: 1.835 states/eV per atom
- Energy of formation from the pure elements: 1010 meV per atom



Entry 7:
DFT (GGA-PBE) results for a relaxed structure of KZrTa.

```
KZrTa
1.0
-3.379 -0.517 0.318
2.593 -4.039 2.447
1.306 7.613 9.335
Zr K Ta
2 2 2
Cartesian
0.572 5.044 7.530
-1.269 6.705 9.203
-1.040 2.632 5.046
-0.435 -1.415 3.247
1.077 2.372 8.543
2.636 4.251 9.639
```

- SG: P1
- Calculated density: 4.941 g/cm³
- Fermi-level density of states: 0.886 states/eV per atom
- Energy of formation from the pure elements: 546 meV per atom



Entry 8:
DFT (GGA-PBE) results for a relaxed structure of K2ZrTa.

```
K2ZrTa
1.0
-0.170 -0.746 -3.028
-3.096 -4.091 1.181
-5.488 3.961 -0.667
K Zr Ta
2 1 1
Cartesian
-1.633 -2.418 -0.923
0.000 0.000 0.000
-4.292 -0.065 0.257
-2.829 1.608 -1.847
```

- SG: Pmmm
- Calculated density: 5.203 g/cm³
- Fermi-level density of states: 0.848 states/eV per atom
- Energy of formation from the pure elements: 1122 meV per atom



Entry 9:
DFT (GGA-PBE) results for a relaxed structure of K2ZrTa.

```
K2ZrTa
1.0
3.048 0.009 0.000
-1.460 2.675 0.000
0.000 0.000 13.613
Ta K Zr
1 2 1
Cartesian
0.794 1.342 3.403
0.000 0.000 6.692
0.000 0.000 0.115
0.794 1.342 10.210
```

- SG: Cmmm
- Calculated density: 5.234 g/cm³
- Fermi-level density of states: 1.456 states/eV per atom
- Energy of formation from the pure elements: 1132 meV per atom



Entry 10:
DFT (GGA-PBE) results for a relaxed structure of K2ZrTa.

```
K2ZrTa
1.0
7.610 0.005 0.012
3.768 6.611 -0.012
-4.365 -5.585 2.769
Ta Zr K
1 1 2
Cartesian
5.292 3.077 0.000
3.071 2.473 1.378
4.205 -1.289 1.390
0.134 0.078 0.000
```

- SG: Imm2
- Calculated density: 4.191 g/cm³
- Fermi-level density of states: 0.653 states/eV per atom
- Energy of formation from the pure elements: 1068 meV per atom



Entry 11:
DFT (GGA-PBE) results for a relaxed structure of K2ZrTa.

```
K2ZrTa
1.0
6.824 0.000 0.000
0.000 6.824 0.000
0.000 0.000 2.797
Ta K Zr
1 2 1
Cartesian
3.412 0.000 1.399
3.412 3.412 0.000
0.000 0.000 0.000
0.000 3.412 1.399
```

- SG: P4/mmm
- Calculated density: 4.467 g/cm³
- Fermi-level density of states: 1.294 states/eV per atom
- Energy of formation from the pure elements: 1778 meV per atom



Entry 12:
DFT (GGA-PBE) results for a relaxed structure of KZr2Ta.

```
KZr2Ta
1.0
-3.293 4.540 0.145
-1.502 1.420 -5.216
-0.205 -4.875 2.769
Zr Ta K
2 1 1
Cartesian
0.000 0.000 0.000
-2.052 -0.237 -2.491
-2.948 1.322 0.189
-2.398 2.980 -2.535
```

- SG: I-4m2
- Calculated density: 6.989 g/cm³
- Fermi-level density of states: 0.983 states/eV per atom
- Energy of formation from the pure elements: 1142 meV per atom



Entry 13:
DFT (GGA-PBE) results for a relaxed structure of KZr2Ta.

```
KZr2Ta
1.0
5.140 0.000 0.000
2.570 4.452 0.000
2.570 1.484 4.197
Zr Ta K
2 1 1
Cartesian
2.570 1.484 1.049
0.000 0.000 0.000
7.710 4.452 3.148
5.140 2.968 2.099
```

- SG: F-43m
- Calculated density: 6.959 g/cm³
- Fermi-level density of states: 1.489 states/eV per atom
- Energy of formation from the pure elements: 1231 meV per atom



Entry 14:
DFT (GGA-PBE) results for a relaxed structure of KZrTa4.

```
KZrTa4
1.0
0.000 4.057 4.057
4.057 0.000 4.057
4.057 4.057 0.000
Ta Zr K
4 1 1
Cartesian
5.048 5.048 3.066
3.066 5.048 5.048
5.048 3.066 5.048
3.066 3.066 3.066
6.085 6.085 6.085
0.000 0.000 0.000
```

- SG: F-43m
- Calculated density: 10.621 g/cm³
- Fermi-level density of states: 2.055 states/eV per atom
- Energy of formation from the pure elements: 908 meV per atom



Entry 15:
DFT (GGA-PBE) results for a relaxed structure of K2ZrTa.

```
K2ZrTa
1.0
-2.586 -0.151 4.464
0.310 -0.783 5.092
1.764 9.749 1.672
Ta K Zr
1 2 1
Cartesian
-0.435 3.548 5.576
-0.518 5.955 8.377
-2.148 -0.284 9.621
0.057 3.070 2.823
```

- SG: Cm
- Calculated density: 3.875 g/cm³
- Fermi-level density of states: 1.176 states/eV per atom
- Energy of formation from the pure elements: 923 meV per atom